Entry 1:
Below is a relaxed structure of Pa3Zn3Ga8, with properties calculated at the PBE level.

a = 4.2532 Å, b = 8.1949 Å, c = 8.1949 Å
α = 76.47°, β = 74.96°, γ = 74.96°
Element x y z (fractional)
Pa 0.5000 0.5000 0.5000
Pa 0.7777 0.2223 0.2223
Pa 0.2223 0.7777 0.7777
Zn 0.5000 0.0000 0.0000
Zn 0.0000 0.8476 0.1524
Zn 0.0000 0.1524 0.8476
Ga 0.6445 0.0619 0.6490
Ga 0.3555 0.9381 0.3510
Ga 0.6445 0.6490 0.0619
Ga 0.3555 0.3510 0.9381
Ga 0.8644 0.7791 0.4921
Ga 0.1356 0.2209 0.5079
Ga 0.8644 0.4921 0.7791
Ga 0.1356 0.5079 0.2209

Summary:
SG	Immm
formation energy from the elements	-219	meV per atom
N(E_F)	12.51	states/eV per cell

Entry 2:
Below is a relaxed structure of Tm5Al2Hg2, with properties calculated at the PBE level.

a = 7.5707 Å, b = 7.6372 Å, c = 8.8883 Å
α = 115.44°, β = 90.00°, γ = 90.00°
Element x y z (fractional)
Tm 0.0000 0.0000 0.0000
Tm 0.5000 0.5000 0.0000
Tm 0.8262 0.8159 0.2680
Tm 0.1738 0.4521 0.2680
Tm 0.3262 0.9521 0.2680
Tm 0.6738 0.3159 0.2680
Tm 0.1738 0.1841 0.7320
Tm 0.8262 0.5479 0.7320
Tm 0.6738 0.0479 0.7320
Tm 0.3262 0.6841 0.7320
Al 0.6214 0.8796 0.0000
Al 0.3786 0.1204 0.0000
Al 0.1214 0.6204 0.0000
Al 0.8786 0.3796 0.0000
Hg 0.0000 0.2147 0.4294
Hg 0.5000 0.7147 0.4294
Hg 0.0000 0.7853 0.5706
Hg 0.5000 0.2853 0.5706

Summary:
SG	Cmce
formation energy from the elements	-377	meV per atom
N(E_F)	13.36	states/eV per cell

Entry 3:
Below is a relaxed structure of Sn3TePd, with properties calculated at the PBE level.

a = 5.2524 Å, b = 5.2524 Å, c = 5.2524 Å
α = 90.00°, β = 90.00°, γ = 90.00°
Element x y z (fractional)
Te 0.5000 0.5000 0.5000
Sn 0.0000 0.5000 0.0000
Sn 0.0000 0.0000 0.5000
Sn 0.5000 0.0000 0.0000
Pd 0.0000 0.0000 0.0000

Summary:
SG	Pm-3m
N(E_F)	3.65	states/eV per cell
polymorph energy (0 for the lowest one)	0	meV per atom

Look up the N(E_F) of the second one.
13.36 states/eV per cell

Please write out number 2 again, unchanged.
Below is a relaxed structure of Tm5Al2Hg2, with properties calculated at the PBE level.

a = 7.5707 Å, b = 7.6372 Å, c = 8.8883 Å
α = 115.44°, β = 90.00°, γ = 90.00°
Element x y z (fractional)
Tm 0.0000 0.0000 0.0000
Tm 0.5000 0.5000 0.0000
Tm 0.8262 0.8159 0.2680
Tm 0.1738 0.4521 0.2680
Tm 0.3262 0.9521 0.2680
Tm 0.6738 0.3159 0.2680
Tm 0.1738 0.1841 0.7320
Tm 0.8262 0.5479 0.7320
Tm 0.6738 0.0479 0.7320
Tm 0.3262 0.6841 0.7320
Al 0.6214 0.8796 0.0000
Al 0.3786 0.1204 0.0000
Al 0.1214 0.6204 0.0000
Al 0.8786 0.3796 0.0000
Hg 0.0000 0.2147 0.4294
Hg 0.5000 0.7147 0.4294
Hg 0.0000 0.7853 0.5706
Hg 0.5000 0.2853 0.5706

Summary:
SG	Cmce
formation energy from the elements	-377	meV per atom
N(E_F)	13.36	states/eV per cell

Which value of N(E_F) does entry 3 give?
3.65 states/eV per cell